Computed, not measured: crystalline CaBe2Tc at its relaxed geometry at the PBE-GGA level of DFT.

```
4
Lattice="-0.1732 -3.8409 -2.7273 2.3690 -3.0262 -2.7296 1.2743 -3.9672 3.1103" Properties=species:S:1:pos:R:3 pbc="T T T"
Be 0.0795 -0.2483 -0.0311
Be 2.5934 -8.0960 -1.3164
Ca 1.7360 -5.4197 -1.0495
Tc 0.7961 -2.4874 -1.1229
```

ρ ... 4.300 Mg/m³
Symmetry ... No. 8
Distance to the lowest polymorph of the same formula ... 333 meV per atom

---

Computed, not measured: crystalline CaBe2Tc at its relaxed geometry at the PBE-GGA level of DFT.

```
4
Lattice="-2.9012 2.0476 2.5045 -4.0790 -0.0813 1.4959 1.2183 -2.9335 4.7693" Properties=species:S:1:pos:R:3 pbc="T T T"
Be -6.7804 1.6561 4.4219
Be -3.0807 -0.1734 3.9633
Ca -4.3214 -0.7254 6.5773
Tc -1.4405 -0.2418 2.1924
```

ρ ... 4.169 Mg/m³
Symmetry ... No. 12
Distance to the lowest polymorph of the same formula ... 231 meV per atom